# Rb2AcAuO4 (PBE, relaxed)
# total moment: 0.00 μB/cell
# E_form (uncorrected): -1.54 eV/atom
data_Rb2AcAuO4
_chemical_formula_sum 'Rb4 Ac2 Au2 O8'
_cell_length_a 6.577
_cell_length_b 6.577
_cell_length_c 7.405
_cell_angle_alpha 90.00
_cell_angle_beta 90.00
_cell_angle_gamma 90.00
_symmetry_space_group_name_H-M 'I -4'
_symmetry_Int_Tables_number 82
loop_
_symmetry_equiv_pos_as_xyz
'x,y,z'
'y,-x,-z'
'-x,-y,z'
'-y,x,-z'
'x+1/2,y+1/2,z+1/2'
'y+1/2,-x+1/2,-z+1/2'
'-x+1/2,-y+1/2,z+1/2'
'-y+1/2,x+1/2,-z+1/2'
loop_
_atom_site_label
_atom_site_type_symbol
_atom_site_fract_x
_atom_site_fract_y
_atom_site_fract_z
Rb1 Rb 0.000 0.000 0.000
Rb2 Rb 0.000 0.500 0.250
Ac1 Ac 0.000 0.000 0.500
Au1 Au 0.000 0.500 0.750
O1 O 0.161 0.764 0.710